No. 1
Compound: Cu3Pt2
Source: Alexandria
Functional: GGA-PBE
Structure: relaxed

It has space group P2_1/m (No. 11), with a = 6.447 Å, b = 2.683 Å, c = 8.656 Å, α = 90.00°, β = 110.36° and γ = 90.00°. The distinct sites, in fractional coordinates, are Cu at (0.039, 0.250, 0.253), Cu at (0.171, 0.250, 0.016), Cu at (0.416, 0.750, 0.331), Pt at (0.198, 0.750, 0.533) and Pt at (0.399, 0.750, 0.858).

The calculation puts the energy of formation from the pure elements at -0.03 eV per atom.

No. 2
Compound: Ba2Sn5Au3
Source: Alexandria
Functional: GGA-PBE
Structure: relaxed

It has space group P-4m2 (No. 115), with a = 5.132 Å, b = 5.132 Å, c = 11.101 Å, α = 90.00°, β = 90.00° and γ = 90.00°. The distinct sites, in fractional coordinates, are Ba at (0.000, 0.500, 0.227), Sn at (0.000, 0.000, 0.500), Sn at (0.000, 0.500, 0.646), Sn at (0.500, 0.500, 0.000), Sn at (0.500, 0.500, 0.500), Au at (0.000, 0.000, 0.000) and Au at (0.000, 0.500, 0.893).

The calculation puts the energy of formation from the pure elements at -0.47 eV per atom.